Compound: NaBi2IO8
Source: Alexandria
Functional: PBE
Structure: optimized geometry

The space group is P2/m (No. 10) and the conventional cell measures 5.027, 6.927 and 5.033 Å, with angles of 90.00, 90.98 and 90.00 degrees. The asymmetric unit holds Na at (0.000, 0.000, 0.000), Bi at (0.500, 0.243, 0.500), I at (0.000, 0.500, 0.000), O at (0.183, 0.296, 0.180), O at (0.272, 0.500, 0.725) and O at (0.313, 0.000, 0.685).

Its formation energy (no corrections) is -0.7715 eV per atom. As for the density of states at the Fermi level: 2.208 states/eV/f.u.